[1]
A relaxed structure of La8CdAu2. Source: Alexandria, functional PBE.

Cell lengths 9.2776, 9.2776, 9.2776 Å; angles 148.40, 123.78, 65.94 degrees
With the nearest neighbours (Å) after each atom.
Fractional coordinates of all 11 atoms:
La  0.1197  0.3398  0.7799  3 Au 3.22-3.33, 1 Cd 3.49, 5 La 3.52-3.59
La  0.1452  0.1452  0.0000  2 Cd 3.39, 8 La 3.52-3.65, 2 Au 3.55
La  0.3283  0.0000  0.3283  1 La 3.00
La  0.4400  0.6602  0.7799  3 Au 3.22-3.33, 1 Cd 3.49, 5 La 3.52-3.59
La  0.5600  0.3398  0.2201  3 Au 3.22-3.33, 1 Cd 3.49, 5 La 3.52-3.59
La  0.6717  0.0000  0.6717  1 La 3.00
La  0.8548  0.8548  0.0000  2 Cd 3.39, 8 La 3.52-3.65, 2 Au 3.55
La  0.8803  0.6602  0.2201  3 Au 3.22-3.33, 1 Cd 3.49, 5 La 3.52-3.59
Cd  0.0000  0.5000  0.5000  8 La 3.39-3.49
Au  0.3052  0.8052  0.5000  10 La 3.22-3.55
Au  0.6948  0.1948  0.5000  10 La 3.22-3.55

The energy relative to the elements comes out at -0.266 eV per atom. Its offset from the most stable computed form is 4.2 meV per atom. Its symmetry is Immm.

***

[2]
A relaxed structure of Ac3Pm5Se8. Source: Alexandria, functional PBE.

Cell lengths 8.6099, 8.6099, 8.6099 Å; angles 59.86, 59.86, 59.86 degrees
With the nearest neighbours (Å) after each atom.
Fractional coordinates of all 16 atoms:
Ac  0.0000  0.5000  0.5000  6 Se 3.11-3.12
Ac  0.5000  0.0000  0.5000  6 Se 3.11-3.12
Ac  0.5000  0.5000  0.0000  6 Se 3.11-3.12
Pm  0.0000  0.0000  0.0000  6 Se 3.04
Pm  0.0000  0.0000  0.5000  6 Se 2.97
Pm  0.0000  0.5000  0.0000  6 Se 2.97
Pm  0.5000  0.0000  0.0000  6 Se 2.97
Pm  0.5000  0.5000  0.5000  6 Se 3.04
Se  0.2383  0.7500  0.7500  4 Pm 2.97-3.04, 2 Ac 3.11
Se  0.2440  0.2440  0.2440  3 Pm 2.97, 3 Ac 3.12
Se  0.2500  0.2500  0.7617  4 Pm 2.97-3.04, 2 Ac 3.11
Se  0.2500  0.7617  0.2500  4 Pm 2.97-3.04, 2 Ac 3.11
Se  0.7500  0.2383  0.7500  4 Pm 2.97-3.04, 2 Ac 3.11
Se  0.7500  0.7500  0.2383  4 Pm 2.97-3.04, 2 Ac 3.11
Se  0.7560  0.7560  0.7560  3 Pm 2.97, 3 Ac 3.12
Se  0.7617  0.2500  0.2500  4 Pm 2.97-3.04, 2 Ac 3.11

Its symmetry is R-3m. The raw formation energy comes out at -1.83 eV/atom.

***

[3]
A relaxed structure of Fe4NiRh5. Source: Alexandria, functional PBE.

Cell lengths 3.0312, 3.0312, 14.6733 Å; angles 90.00, 90.00, 90.00 degrees
With the nearest neighbours (Å) after each atom.
Fractional coordinates of all 10 atoms:
Fe  0.0000  0.0000  0.1027  8 Rh 2.61-2.62
Fe  0.0000  0.0000  0.3090  8 Rh 2.55-2.64, 1 Ni 2.80
Fe  0.0000  0.0000  0.6910  8 Rh 2.55-2.64, 1 Ni 2.80
Fe  0.0000  0.0000  0.8973  8 Rh 2.61-2.62
Ni  0.0000  0.0000  0.5000  8 Rh 2.57, 2 Fe 2.80
Rh  0.5000  0.5000  0.0000  8 Fe 2.62
Rh  0.5000  0.5000  0.2038  8 Fe 2.61-2.64
Rh  0.5000  0.5000  0.4037  4 Fe 2.55, 4 Ni 2.57, 1 Rh 2.83
Rh  0.5000  0.5000  0.5963  4 Fe 2.55, 4 Ni 2.57, 1 Rh 2.83
Rh  0.5000  0.5000  0.7962  8 Fe 2.61-2.64

The energy relative to the elements comes out at -0.021 eV per atom. Its symmetry is P4/mmm.

***

[4]
A relaxed structure of MoRh2. Source: Alexandria, functional PBE.

Cell lengths 5.0546, 5.0546, 5.0546 Å; angles 60.00, 60.00, 60.00 degrees
With the nearest neighbours (Å) after each atom.
Fractional coordinates of all 6 atoms:
Mo  0.1250  0.1250  0.1250  12 Rh 2.96, 4 Mo 3.10
Mo  0.8750  0.8750  0.8750  12 Rh 2.96, 4 Mo 3.10
Rh  0.0000  0.5000  0.5000  6 Rh 2.53
Rh  0.5000  0.0000  0.5000  6 Rh 2.53
Rh  0.5000  0.5000  0.0000  6 Rh 2.53
Rh  0.5000  0.5000  0.5000  6 Rh 2.53

The energy relative to the elements comes out at 0.226 eV per atom. Its symmetry is Fd-3m.

***

[5]
A relaxed structure of Sb3IrW. Source: Alexandria, functional PBE.

Cell lengths 5.1253, 5.1253, 5.1253 Å; angles 90.00, 90.00, 90.00 degrees
With the nearest neighbours (Å) after each atom.
Fractional coordinates of all 5 atoms:
Sb  0.0000  0.0000  0.5000  2 Ir 2.56
Sb  0.0000  0.5000  0.0000  2 Ir 2.56
Sb  0.5000  0.0000  0.0000  2 Ir 2.56
Ir  0.0000  0.0000  0.0000  6 Sb 2.56
W  0.5000  0.5000  0.5000  12 Sb 3.62

Its offset from the most stable computed form is 72.6 meV per atom. Its symmetry is Pm-3m. The raw formation energy comes out at 1.36 eV/atom.

***

[6]
A relaxed structure of Li2Dy3YSe6. Source: Alexandria, functional PBE.

Cell lengths 6.9924, 6.9924, 7.0041 Å; angles 99.59, 99.59, 119.99 degrees
With the nearest neighbours (Å) after each atom.
Fractional coordinates of all 12 atoms:
Li  0.1679  0.8321  0.0000  6 Se 2.80-2.82
Li  0.8321  0.1679  0.0000  6 Se 2.80-2.82
Dy  0.0000  0.0000  0.5000  6 Se 2.85-2.90
Dy  0.3340  0.6660  0.5000  6 Se 2.86-2.90
Dy  0.6660  0.3340  0.5000  6 Se 2.86-2.90
Y  0.5000  0.5000  0.0000  6 Se 2.86-2.87
Se  0.0798  0.4191  0.7572  2 Li 2.80-2.81, 3 Dy 2.86-2.90, 1 Y 2.86
Se  0.2416  0.2416  0.2431  2 Li 2.82, 3 Dy 2.85-2.89, 1 Y 2.87
Se  0.4191  0.0798  0.7572  2 Li 2.80-2.81, 3 Dy 2.86-2.90, 1 Y 2.86
Se  0.5809  0.9202  0.2428  2 Li 2.80-2.81, 3 Dy 2.86-2.90, 1 Y 2.86
Se  0.7584  0.7584  0.7569  2 Li 2.82, 3 Dy 2.85-2.89, 1 Y 2.87
Se  0.9202  0.5809  0.2428  2 Li 2.80-2.81, 3 Dy 2.86-2.90, 1 Y 2.86

Its symmetry is C2/m. The raw formation energy comes out at -1.73 eV/atom.

***

Respective Fermi-level density of states values: 1.36, 0.61, 0.85, 1.75, 0.99, 0.22 states/eV/atom.